VASP calculation (PBE-GGA) on Ge5F12 after structural relaxation.

Cell and atoms, written as CIF:
```
data_Ge5F12
_symmetry_space_group_name_H-M 'P 1 21/c 1'
_symmetry_Int_Tables_number 14
_symmetry_space_group_name_Hall '-P 2ybc'
_cell_length_a 8.6316
_cell_length_b 7.8094
_cell_length_c 8.3458
_cell_angle_alpha 90.00
_cell_angle_beta 92.90
_cell_angle_gamma 90.00
loop_
_atom_site_label
_atom_site_type_symbol
_atom_site_fract_x
_atom_site_fract_y
_atom_site_fract_z
Ge1 Ge 0.0000 0.0000 0.0000
Ge2 Ge 0.2063 0.0460 0.6350
Ge3 Ge 0.3899 0.6162 0.6950
F1 F 0.0387 0.1591 0.1512
F2 F 0.1405 0.6449 0.6052
F3 F 0.1609 0.0911 0.8832
F4 F 0.3227 0.5573 0.8940
F5 F 0.3505 0.6369 0.2362
F6 F 0.3768 0.1929 0.6694
```

As for the theoretical density: 3.494 g/cm³. The calculation puts the uncorrected formation energy at -2.20 eV per atom. The total magnetization comes out at 0.00 Bohr magnetons per cell. For the volume, the calculation gives 16.52 A^3/atom.


VASP calculation (PBE-GGA) on Ge2F13 after structural relaxation.

Cell and atoms, written as CIF:
```
data_Ge2F13
_symmetry_space_group_name_H-M 'P -1'
_symmetry_Int_Tables_number 2
_symmetry_space_group_name_Hall '-P 1'
_cell_length_a 4.8541
_cell_length_b 6.4315
_cell_length_c 7.5664
_cell_angle_alpha 66.05
_cell_angle_beta 77.56
_cell_angle_gamma 82.78
loop_
_atom_site_label
_atom_site_type_symbol
_atom_site_fract_x
_atom_site_fract_y
_atom_site_fract_z
Ge1 Ge 0.1467 0.1373 0.2190
F1 F 0.0000 0.0000 0.5000
F2 F 0.0926 0.8731 0.2144
F3 F 0.1915 0.3833 0.2595
F4 F 0.2238 0.7473 0.8091
F5 F 0.2814 0.2713 0.9634
F6 F 0.3573 0.4793 0.5436
F7 F 0.4989 0.0011 0.2824
```

As for the theoretical density: 3.093 g/cm³. The calculation puts the uncorrected formation energy at -1.43 eV per atom. The total magnetization comes out at 3.09 Bohr magnetons per cell. For the volume, the calculation gives 14.04 A^3/atom.


VASP calculation (PBE-GGA) on GeF after structural relaxation.

Cell and atoms, written as CIF:
```
data_GeF
_symmetry_space_group_name_H-M 'P m m n'
_symmetry_Int_Tables_number 59
_cell_length_a 3.6870
_cell_length_b 4.1069
_cell_length_c 4.4641
_cell_angle_alpha 90.00
_cell_angle_beta 90.00
_cell_angle_gamma 90.00
loop_
_symmetry_equiv_pos_as_xyz
'x,y,z'
'-x,-y,-z'
'-x+1/2,-y+1/2,z'
'x+1/2,y+1/2,-z'
'x+1/2,-y,-z'
'-x+1/2,y,z'
'-x,y+1/2,-z'
'x,-y+1/2,z'
loop_
_atom_site_label
_atom_site_type_symbol
_atom_site_fract_x
_atom_site_fract_y
_atom_site_fract_z
Ge1 Ge 0.2500 0.2500 0.0458
F1 F 0.2500 0.2500 0.4521
```

As for the theoretical density: 4.502 g/cm³. The calculation puts the uncorrected formation energy at -1.34 eV per atom. The total magnetization comes out at 0.00 Bohr magnetons per cell. For the volume, the calculation gives 16.90 A^3/atom. The relative energy among the computed polymorphs comes out at 0.22 eV/f.u.


VASP calculation (PBE-GGA) on GeF after structural relaxation.

Cell and atoms, written as CIF:
```
data_GeF
_symmetry_space_group_name_H-M 'F d d d'
_symmetry_Int_Tables_number 70
_cell_length_a 5.4540
_cell_length_b 8.2288
_cell_length_c 12.5363
_cell_angle_alpha 90.00
_cell_angle_beta 90.00
_cell_angle_gamma 90.00
loop_
_symmetry_equiv_pos_as_xyz
'x,y,z'
'-x,-y,-z'
'-x+1/4,-y+1/4,z'
'x+1/4,y+1/4,-z'
'x,-y+1/4,-z+1/4'
'-x,y+1/4,z+1/4'
'-x+1/4,y,-z+1/4'
'x+1/4,-y,z+1/4'
'x,y+1/2,z+1/2'
'-x,-y+1/2,-z+1/2'
'-x+1/4,-y+3/4,z+1/2'
'x+1/4,y+3/4,-z+1/2'
'x,-y+3/4,-z+3/4'
'-x,y+3/4,z+3/4'
'-x+1/4,y+1/2,-z+3/4'
'x+1/4,-y+1/2,z+3/4'
'x+1/2,y,z+1/2'
'-x+1/2,-y,-z+1/2'
'-x+3/4,-y+1/4,z+1/2'
'x+3/4,y+1/4,-z+1/2'
'x+1/2,-y+1/4,-z+3/4'
'-x+1/2,y+1/4,z+3/4'
'-x+3/4,y,-z+3/4'
'x+3/4,-y,z+3/4'
'x+1/2,y+1/2,z'
'-x+1/2,-y+1/2,-z'
'-x+3/4,-y+3/4,z'
'x+3/4,y+3/4,-z'
'x+1/2,-y+3/4,-z+1/4'
'-x+1/2,y+3/4,z+1/4'
'-x+3/4,y+1/2,-z+1/4'
'x+3/4,-y+1/2,z+1/4'
loop_
_atom_site_label
_atom_site_type_symbol
_atom_site_fract_x
_atom_site_fract_y
_atom_site_fract_z
Ge1 Ge 0.1255 0.3750 0.3750
F1 F 0.1250 0.1250 0.3223
```

As for the theoretical density: 4.327 g/cm³. The calculation puts the uncorrected formation energy at -1.07 eV per atom. The total magnetization comes out at 0.00 Bohr magnetons per cell. For the volume, the calculation gives 17.58 A^3/atom. The relative energy among the computed polymorphs comes out at 0.75 eV/f.u.


Repeat the third record exactly.
VASP calculation (PBE-GGA) on GeF after structural relaxation.

Cell and atoms, written as CIF:
```
data_GeF
_symmetry_space_group_name_H-M 'P m m n'
_symmetry_Int_Tables_number 59
_cell_length_a 3.6870
_cell_length_b 4.1069
_cell_length_c 4.4641
_cell_angle_alpha 90.00
_cell_angle_beta 90.00
_cell_angle_gamma 90.00
loop_
_symmetry_equiv_pos_as_xyz
'x,y,z'
'-x,-y,-z'
'-x+1/2,-y+1/2,z'
'x+1/2,y+1/2,-z'
'x+1/2,-y,-z'
'-x+1/2,y,z'
'-x,y+1/2,-z'
'x,-y+1/2,z'
loop_
_atom_site_label
_atom_site_type_symbol
_atom_site_fract_x
_atom_site_fract_y
_atom_site_fract_z
Ge1 Ge 0.2500 0.2500 0.0458
F1 F 0.2500 0.2500 0.4521
```

As for the theoretical density: 4.502 g/cm³. The calculation puts the uncorrected formation energy at -1.34 eV per atom. The total magnetization comes out at 0.00 Bohr magnetons per cell. For the volume, the calculation gives 16.90 A^3/atom. The relative energy among the computed polymorphs comes out at 0.22 eV/f.u.


> volume of number 3 (GeF)?

16.90 A^3/atom


> Among the records above, which one has the lowest theoretical density?

Ge2F13


> Which formula does entry 4 have?

GeF